[1]
Below is a relaxed Ca2IrOs crystal, with properties calculated at the PBE level.

Cell lengths 5.788, 5.788, 5.337 Å; angles 110.61, 110.61, 29.35 degrees
Fractional coordinates of all 4 atoms:
Ca (0.000, 0.000, 0.000)
Ca (0.198, 0.198, 0.609)
Ir (0.442, 0.442, 0.474)
Os (0.763, 0.763, 0.145)

Results
Its total energy is -5.9082 eV per atom. Its formation enthalpy at 0 K is 0.46 eV per formula unit.

[2]
Below is a relaxed Dy3NpTl3Se8 crystal, with properties calculated at the PBE level.

Cell lengths 9.185, 9.185, 9.185 Å; angles 53.87, 53.87, 53.87 degrees
Fractional coordinates of all 15 atoms:
Dy (0.000, 0.500, 0.500)
Dy (0.500, 0.000, 0.500)
Dy (0.500, 0.500, 0.000)
Np (0.000, 0.000, 0.000)
Tl (0.000, 0.000, 0.500)
Tl (0.000, 0.500, 0.000)
Tl (0.500, 0.000, 0.000)
Se (0.232, 0.232, 0.737)
Se (0.232, 0.737, 0.232)
Se (0.263, 0.768, 0.768)
Se (0.265, 0.265, 0.265)
Se (0.735, 0.735, 0.735)
Se (0.737, 0.232, 0.232)
Se (0.768, 0.263, 0.768)
Se (0.768, 0.768, 0.263)

Results
Its total energy is -5.4388 eV per atom. The uncorrected formation energy comes out at -1.324 eV/atom.

[3]
Below is a relaxed K2AlRh crystal, with properties calculated at the PBE level.

Cell lengths 12.105, 12.105, 12.105 Å; angles 160.85, 160.85, 27.21 degrees
Fractional coordinates of all 8 atoms:
K (0.120, 0.625, 0.995)
K (0.375, 0.370, 0.495)
K (0.630, 0.125, 0.005)
K (0.875, 0.880, 0.505)
Al (0.250, 0.750, 0.500)
Al (0.500, 0.500, 0.000)
Rh (0.000, 0.000, 0.000)
Rh (0.750, 0.250, 0.500)

Results
Its total energy is -2.6870 eV per atom. Its formation enthalpy at 0 K is 2.54 eV per formula unit.

[4]
Below is a relaxed AgHgI crystal, with properties calculated at the PBE level.

Cell lengths 7.548, 7.548, 7.548 Å; angles 148.22, 148.22, 45.55 degrees
Fractional coordinates of all 3 atoms:
Ag (0.000, 0.000, 0.000)
Hg (0.796, 0.796, 0.000)
I (0.544, 0.544, 0.000)

Results
Its total energy is -1.6339 eV per atom. The uncorrected formation energy comes out at -0.066 eV/atom.

[5]
Below is a relaxed Si2RuBr crystal, with properties calculated at the PBE level.

Cell lengths 7.719, 7.719, 7.719 Å; angles 24.20, 24.20, 24.20 degrees
Fractional coordinates of all 4 atoms:
Si (0.237, 0.237, 0.237)
Si (0.763, 0.763, 0.763)
Ru (0.500, 0.500, 0.500)
Br (0.000, 0.000, 0.000)

Results
Its total energy is -5.3912 eV per atom. The uncorrected formation energy comes out at 0.058 eV/atom.

[6]
Below is a relaxed CaEr2Ga4 crystal, with properties calculated at the PBE level.

Cell lengths 9.635, 9.635, 9.635 Å; angles 155.13, 154.36, 36.02 degrees
Fractional coordinates of all 7 atoms:
Ca (0.000, 0.000, 0.000)
Er (0.186, 0.686, 0.500)
Er (0.814, 0.314, 0.500)
Ga (0.350, 0.850, 0.500)
Ga (0.432, 0.432, 0.000)
Ga (0.568, 0.568, 0.000)
Ga (0.650, 0.150, 0.500)

Results
Its total energy is -3.8656 eV per atom. Its formation enthalpy at 0 K is -3.82 eV per formula unit.